The following is a DFT calculation (GGA-PBE) of TaFeN after structural relaxation.

```
TaFeN
1.0
4.9340 0.0000 0.0000
0.0000 2.9314 0.0000
0.0000 0.0000 4.6451
Ta Fe N
2 2 2
Cartesian
1.2335 0.0000 0.9977 Ta
3.7005 0.0000 3.6474 Ta
1.2335 1.4657 3.0974 Fe
3.7005 1.4657 1.5477 Fe
0.0000 1.4657 0.0000 N
2.4670 1.4657 0.0000 N
```

Properties
Symmetry: Pmma

---

The following is a DFT calculation (GGA-PBE) of TaFeN3 after structural relaxation.

```
TaFeN3
1.0
4.0149 0.0000 0.0000
0.0000 4.0149 0.0000
0.0000 0.0000 4.0149
Ta Fe N
1 1 3
Cartesian
0.0000 0.0000 0.0000 Ta
2.0074 2.0074 2.0074 Fe
0.0000 0.0000 2.0074 N
0.0000 2.0074 0.0000 N
2.0074 0.0000 0.0000 N
```

Properties
Symmetry: Pm-3m

---

The following is a DFT calculation (GGA-PBE) of TaFeN after structural relaxation.

```
TaFeN
1.0
4.9635 -1.4590 0.0000
4.9635 1.4590 0.0000
-0.1849 0.0000 4.7838
Ta Fe N
2 2 2
Cartesian
0.0000 0.0000 0.0000 Ta
7.1100 0.0000 3.0558 Ta
2.6274 0.0000 0.7302 Fe
4.6075 0.0000 2.3068 Fe
1.0207 0.0000 1.8348 N
3.4935 0.0000 3.9007 N
```

Properties
Symmetry: Cm

---

The following is a DFT calculation (GGA-PBE) of Ta3Fe3N after structural relaxation.

```
Ta3Fe3N
1.0
0.0000 5.6259 5.6259
5.6259 0.0000 5.6259
5.6259 5.6259 0.0000
Ta Fe N
12 12 4
Cartesian
4.2194 4.2194 0.8260 Ta
4.2194 0.8260 4.2194 Ta
7.6127 4.2194 4.2194 Ta
7.0323 7.0323 3.6390 Ta
7.0323 3.6390 7.0323 Ta
10.4257 7.0323 7.0323 Ta
0.8260 4.2194 4.2194 Ta
4.2194 7.6127 4.2194 Ta
4.2194 4.2194 7.6127 Ta
3.6390 7.0323 7.0323 Ta
7.0323 10.4257 7.0323 Ta
7.0323 7.0323 10.4257 Ta
5.6259 2.8129 2.8129 Fe
3.3632 3.3632 3.3632 Fe
5.0756 5.0756 3.3632 Fe
5.0756 3.3632 5.0756 Fe
7.8885 6.1761 6.1761 Fe
2.8129 5.6259 2.8129 Fe
2.8129 2.8129 5.6259 Fe
5.6259 5.6259 5.6259 Fe
3.3632 5.0756 5.0756 Fe
6.1761 7.8885 6.1761 Fe
6.1761 6.1761 7.8885 Fe
7.8885 7.8885 7.8885 Fe
0.0000 0.0000 0.0000 N
2.8129 2.8129 0.0000 N
2.8129 0.0000 2.8129 N
0.0000 2.8129 2.8129 N
```

Properties
Symmetry: Fd-3m

---

The following is a DFT calculation (GGA-PBE) of TaFeN after structural relaxation.

```
TaFeN
1.0
4.2801 0.0000 0.0000
0.0000 3.6563 0.0000
0.0000 0.0000 4.4371
Ta Fe N
2 2 2
Cartesian
1.0700 0.0000 1.0939 Ta
3.2101 0.0000 3.3432 Ta
1.0700 1.8281 2.9798 Fe
3.2101 1.8281 1.4572 Fe
1.0700 0.0000 3.4329 N
3.2101 0.0000 1.0042 N
```

Properties
Symmetry: Pmma

---

The following is a DFT calculation (GGA-PBE) of TaFeN after structural relaxation.

```
TaFeN
1.0
4.9420 -1.5024 0.0000
4.9420 1.5024 0.0000
-1.3029 0.0000 4.5813
Ta Fe N
2 2 2
Cartesian
0.0000 0.0000 0.0000 Ta
1.3293 0.0000 2.9073 Ta
3.9273 0.0000 2.1056 Fe
7.3669 0.0000 0.7269 Fe
4.9916 0.0000 3.7408 N
7.7785 0.0000 2.5419 N
```

Properties
Symmetry: Cm

---

The following is a DFT calculation (GGA-PBE) of TaFeN after structural relaxation.

```
TaFeN
1.0
3.0706 -3.7752 0.0000
3.0706 3.7752 0.0000
0.0000 0.0000 2.9847
Ta Fe N
2 2 2
Cartesian
3.0706 2.1983 0.0000 Ta
3.0706 -2.1983 0.0000 Ta
1.8492 0.0000 1.4924 Fe
4.2921 0.0000 1.4924 Fe
1.5353 1.8876 1.4924 N
1.5353 -1.8876 1.4924 N
```

Properties
Symmetry: Cmmm

---

The following is a DFT calculation (GGA-PBE) of TaFeN3 after structural relaxation.

```
TaFeN3
1.0
3.6123 0.0000 0.0000
0.0000 3.6123 0.0000
0.0000 0.0000 3.6123
Ta Fe N
1 1 3
Cartesian
0.0000 0.0000 0.0000 Ta
1.8061 1.8061 1.8061 Fe
0.0000 1.8061 1.8061 N
1.8061 0.0000 1.8061 N
1.8061 1.8061 0.0000 N
```

Properties
Symmetry: Pm-3m

---

The following is a DFT calculation (GGA-PBE) of Ta2FeN after structural relaxation.

```
Ta2FeN
1.0
1.4425 0.8328 8.0413
-1.4425 0.8328 8.0413
0.0000 -1.6657 8.0413
Ta Fe N
2 1 1
Cartesian
0.0000 0.0000 2.5956 Ta
0.0000 0.0000 21.5282 Ta
0.0000 0.0000 0.0000 Fe
0.0000 0.0000 12.0619 N
```

Properties
Symmetry: R-3m

---

The following is a DFT calculation (GGA-PBE) of Ta2FeN after structural relaxation.

```
Ta2FeN
1.0
-2.6282 2.6282 4.6847
2.6282 -2.6282 4.6847
2.6282 2.6282 -4.6847
Ta Fe N
4 2 2
Cartesian
3.9422 1.0032 -1.1712 Ta
1.0032 1.3141 1.1712 Ta
-1.3141 1.6250 3.5136 Ta
1.6250 1.3141 5.8559 Ta
2.6282 0.0000 2.3424 Fe
0.0000 0.0000 4.6847 Fe
0.0000 0.0000 0.0000 N
0.0000 2.6282 2.3424 N
```

Properties
Symmetry: I-42d

---

The following is a DFT calculation (GGA-PBE) of TaFeN2 after structural relaxation.

```
TaFeN2
1.0
0.0000 2.6589 2.6589
2.6589 0.0000 2.6589
2.6589 2.6589 0.0000
Ta Fe N
1 1 2
Cartesian
0.0000 0.0000 0.0000 Ta
2.6589 2.6589 2.6589 Fe
1.3294 1.3294 1.3294 N
3.9883 3.9883 3.9883 N
```

Properties
Symmetry: Fm-3m

---

The following is a DFT calculation (GGA-PBE) of TaFeN after structural relaxation.

```
TaFeN
1.0
2.9319 0.0000 0.0000
0.0000 2.9319 0.0000
0.0000 0.0000 5.4374
Ta Fe N
1 1 1
Cartesian
0.0000 0.0000 0.0000 Ta
0.0000 0.0000 2.7187 Fe
1.4659 1.4659 0.0000 N
```

Properties
Symmetry: P4/mmm

---

| no. | N(E_F) (states/eV/atom) | DFT total energy (Ha/atom) | volume (Å³/atom) |
| --- | --- | --- | --- |
| 1 | 0.7326 | -0.3677 | 11.20 |
| 2 | 1.1756 | -0.3073 | 12.94 |
| 3 | 0.5865 | -0.3680 | 11.55 |
| 4 | 0.7564 | -0.3823 | 12.72 |
| 5 | 0.7750 | -0.3717 | 11.57 |
| 6 | 0.6021 | -0.3683 | 11.34 |
| 7 | 0.6650 | -0.3728 | 11.53 |
| 8 | 0.5606 | -0.3091 | 9.43 |
| 9 | 0.6530 | -0.3707 | 14.49 |
| 10 | 0.8774 | -0.3709 | 16.18 |
| 11 | 0.0116 | -0.3413 | 9.40 |
| 12 | 1.0121 | -0.3425 | 15.58 |